Here is a relaxed structure of KNbGa2 from Alexandria via LeMat-Bulk. Energies are from PBE.

space group = Fm-3m
ΔE to the lowest computed polymorph = 0 meV/atom
ΔH_f (0 K) = 2.4 eV/f.u.

Geometry as CIF:
```
data_KNbGa2
_chemical_formula_sum 'K4 Nb4 Ga8'
_space_group_name_H-M_alt 'P 1'
_space_group_IT_number 1
_space_group_name_Hall 'P 1'
_cell_length_a 7.052
_cell_length_b 7.052
_cell_length_c 7.052
_cell_angle_alpha 90.00
_cell_angle_beta 90.00
_cell_angle_gamma 90.00
loop_
_atom_site_label
_atom_site_type_symbol
_atom_site_fract_x
_atom_site_fract_y
_atom_site_fract_z
K1 K 0.000 0.000 0.000
K2 K 0.000 0.500 0.500
K3 K 0.500 0.000 0.500
K4 K 0.500 0.500 0.000
Nb1 Nb 0.000 0.000 0.500
Nb2 Nb 0.000 0.500 0.000
Nb3 Nb 0.500 0.000 0.000
Nb4 Nb 0.500 0.500 0.500
Ga1 Ga 0.250 0.250 0.250
Ga2 Ga 0.250 0.250 0.750
Ga3 Ga 0.250 0.750 0.250
Ga4 Ga 0.250 0.750 0.750
Ga5 Ga 0.750 0.250 0.250
Ga6 Ga 0.750 0.250 0.750
Ga7 Ga 0.750 0.750 0.250
Ga8 Ga 0.750 0.750 0.750
```

=====

Here is a relaxed structure of KNb3Ga from Alexandria via LeMat-Bulk. Energies are from PBE.

space group = Pm-3m
ΔE to the lowest computed polymorph = 1008 meV/atom
ΔH_f (0 K) = 12.2 eV/f.u.

Geometry as CIF:
```
data_KNb3Ga
_chemical_formula_sum 'K1 Nb3 Ga1'
_space_group_name_H-M_alt 'P 1'
_space_group_IT_number 1
_space_group_name_Hall 'P 1'
_cell_length_a 4.624
_cell_length_b 4.624
_cell_length_c 4.624
_cell_angle_alpha 90.00
_cell_angle_beta 90.00
_cell_angle_gamma 90.00
loop_
_atom_site_label
_atom_site_type_symbol
_atom_site_fract_x
_atom_site_fract_y
_atom_site_fract_z
K1 K 0.000 0.000 0.000
Nb1 Nb 0.000 0.000 0.500
Nb2 Nb 0.000 0.500 0.000
Nb3 Nb 0.500 0.000 0.000
Ga1 Ga 0.500 0.500 0.500
```

=====

Here is a relaxed structure of KNbGa2 from Alexandria via LeMat-Bulk. Energies are from PBE.

space group = I-42d
ΔE to the lowest computed polymorph = 56 meV/atom
ΔH_f (0 K) = 2.6 eV/f.u.

Geometry as CIF:
```
data_KNbGa2
_chemical_formula_sum 'K4 Nb4 Ga8'
_space_group_name_H-M_alt 'P 1'
_space_group_IT_number 1
_space_group_name_Hall 'P 1'
_cell_length_a 5.406
_cell_length_b 5.406
_cell_length_c 18.177
_cell_angle_alpha 90.00
_cell_angle_beta 90.00
_cell_angle_gamma 90.00
loop_
_atom_site_label
_atom_site_type_symbol
_atom_site_fract_x
_atom_site_fract_y
_atom_site_fract_z
K1 K 0.000 0.000 0.000
K2 K 0.000 0.500 0.250
K3 K 0.500 0.000 0.750
K4 K 0.500 0.500 0.500
Nb1 Nb 0.000 0.000 0.500
Nb2 Nb 0.000 0.500 0.750
Nb3 Nb 0.500 0.000 0.250
Nb4 Nb 0.500 0.500 0.000
Ga1 Ga 0.002 0.250 0.625
Ga2 Ga 0.250 0.502 0.875
Ga3 Ga 0.250 0.998 0.375
Ga4 Ga 0.498 0.250 0.125
Ga5 Ga 0.502 0.750 0.125
Ga6 Ga 0.750 0.002 0.375
Ga7 Ga 0.750 0.498 0.875
Ga8 Ga 0.998 0.750 0.625
```

=====

Here is a relaxed structure of KNbGa3 from Alexandria via LeMat-Bulk. Energies are from PBE.

space group = Pm-3m
ΔE to the lowest computed polymorph = 1611 meV/atom
ΔH_f (0 K) = 8.8 eV/f.u.

Geometry as CIF:
```
data_KNbGa3
_chemical_formula_sum 'K1 Nb1 Ga3'
_space_group_name_H-M_alt 'P 1'
_space_group_IT_number 1
_space_group_name_Hall 'P 1'
_cell_length_a 5.117
_cell_length_b 5.117
_cell_length_c 5.117
_cell_angle_alpha 90.00
_cell_angle_beta 90.00
_cell_angle_gamma 90.00
loop_
_atom_site_label
_atom_site_type_symbol
_atom_site_fract_x
_atom_site_fract_y
_atom_site_fract_z
K1 K 0.000 0.000 0.000
Nb1 Nb 0.500 0.500 0.500
Ga1 Ga 0.000 0.000 0.500
Ga2 Ga 0.000 0.500 0.000
Ga3 Ga 0.500 0.000 0.000
```

=====

Here is a relaxed structure of KNbGa2O6 from Alexandria via LeMat-Bulk. Energies are from PBE.

formation energy (no corrections) = -2.07 eV per atom
space group = C2/c

Geometry as CIF:
```
data_KNbGa2O6
_chemical_formula_sum 'K2 Nb2 Ga4 O12'
_space_group_name_H-M_alt 'P 1'
_space_group_IT_number 1
_space_group_name_Hall 'P 1'
_cell_length_a 7.522
_cell_length_b 7.522
_cell_length_c 6.359
_cell_angle_alpha 104.33
_cell_angle_beta 104.33
_cell_angle_gamma 104.35
loop_
_atom_site_label
_atom_site_type_symbol
_atom_site_fract_x
_atom_site_fract_y
_atom_site_fract_z
K1 K 0.105 0.895 0.750
K2 K 0.895 0.105 0.250
Nb1 Nb 0.200 0.800 0.250
Nb2 Nb 0.800 0.200 0.750
Ga1 Ga 0.305 0.445 0.840
Ga2 Ga 0.445 0.305 0.340
Ga3 Ga 0.555 0.695 0.660
Ga4 Ga 0.695 0.555 0.160
O1 O 0.047 0.244 0.718
O2 O 0.194 0.633 0.975
O3 O 0.244 0.047 0.218
O4 O 0.335 0.431 0.546
O5 O 0.367 0.806 0.525
O6 O 0.431 0.335 0.046
O7 O 0.569 0.665 0.954
O8 O 0.633 0.194 0.475
O9 O 0.665 0.569 0.454
O10 O 0.756 0.953 0.782
O11 O 0.806 0.367 0.025
O12 O 0.953 0.756 0.282
```

=====

Here is a relaxed structure of KRb2NbGa from Alexandria via LeMat-Bulk. Energies are from PBE.

space group = P4/mmm
ΔH_f (0 K) = 3.8 eV/f.u.

Geometry as CIF:
```
data_KRb2NbGa
_chemical_formula_sum 'K1 Rb2 Nb1 Ga1'
_space_group_name_H-M_alt 'P 1'
_space_group_IT_number 1
_space_group_name_Hall 'P 1'
_cell_length_a 6.942
_cell_length_b 6.942
_cell_length_c 5.289
_cell_angle_alpha 90.00
_cell_angle_beta 90.00
_cell_angle_gamma 90.00
loop_
_atom_site_label
_atom_site_type_symbol
_atom_site_fract_x
_atom_site_fract_y
_atom_site_fract_z
K1 K 0.000 0.000 0.000
Rb1 Rb 0.000 0.500 0.500
Rb2 Rb 0.500 0.000 0.500
Nb1 Nb 0.500 0.500 0.000
Ga1 Ga 0.500 0.500 0.500
```

=====

Here is a relaxed structure of KNbGa2Rh from Alexandria via LeMat-Bulk. Energies are from PBE.

space group = P4/mmm
ΔH_f (0 K) = 6.9 eV/f.u.

Geometry as CIF:
```
data_KNbGa2Rh
_chemical_formula_sum 'K1 Nb1 Ga2 Rh1'
_space_group_name_H-M_alt 'P 1'
_space_group_IT_number 1
_space_group_name_Hall 'P 1'
_cell_length_a 5.025
_cell_length_b 5.025
_cell_length_c 5.474
_cell_angle_alpha 90.00
_cell_angle_beta 90.00
_cell_angle_gamma 90.00
loop_
_atom_site_label
_atom_site_type_symbol
_atom_site_fract_x
_atom_site_fract_y
_atom_site_fract_z
K1 K 0.000 0.000 0.000
Nb1 Nb 0.000 0.000 0.500
Ga1 Ga 0.000 0.500 0.500
Ga2 Ga 0.500 0.000 0.500
Rh1 Rh 0.500 0.500 0.000
```

=====

Here is a relaxed structure of KNbGa2Sn from Alexandria via LeMat-Bulk. Energies are from PBE.

space group = P4/mmm
ΔH_f (0 K) = 8.8 eV/f.u.

Geometry as CIF:
```
data_KNbGa2Sn
_chemical_formula_sum 'K1 Nb1 Ga2 Sn1'
_space_group_name_H-M_alt 'P 1'
_space_group_IT_number 1
_space_group_name_Hall 'P 1'
_cell_length_a 5.085
_cell_length_b 5.085
_cell_length_c 5.637
_cell_angle_alpha 90.00
_cell_angle_beta 90.00
_cell_angle_gamma 90.00
loop_
_atom_site_label
_atom_site_type_symbol
_atom_site_fract_x
_atom_site_fract_y
_atom_site_fract_z
K1 K 0.000 0.000 0.000
Nb1 Nb 0.500 0.500 0.500
Ga1 Ga 0.000 0.500 0.000
Ga2 Ga 0.500 0.000 0.000
Sn1 Sn 0.000 0.000 0.500
```